SrIn2Mo after structural relaxation, computed with GGA-PBEsol.

```
SrIn2Mo
1.0
-1.4248 -2.1205 -2.7272
2.1940 -3.9545 1.9285
-4.4884 2.1447 3.2376
In Sr Mo
2 1 1
direct
0.7742 0.2742 0.5483
0.0105 0.0105 0.0211
0.2341 0.7341 0.4683
0.4811 0.4811 0.9623
```

## Properties
formation enthalpy at 0 K	0.474	eV/atom
calculated volume	23.28	Å³ per atom
space group	No. 44
excess energy over the best structure of this formula in the dataset	0.1002	eV/atom
theoretical density	7.4	g cm⁻³